VASP calculation (GGA+U) on a geometry-optimized SrMnCrO4 structure.

Crystal system: monoclinic

POSCAR file:
```
SrMnCrO4
1.0
5.8688 0.0000 0.0000
0.0000 5.5673 0.0000
-1.6133 0.0000 6.2749
Sr Mn Cr O
2 2 2 8
Cartesian
0.7035 1.3918 2.9203
3.5520 4.1755 3.3546
0.8176 4.1755 0.9874
3.4379 1.3918 5.2874
2.3911 1.3918 0.0002
1.8644 4.1755 6.2747
0.5038 1.3918 0.3380
-0.0176 4.1755 2.5816
2.5168 2.9176 1.2472
2.5168 5.4333 1.2472
1.7386 0.1339 5.0277
1.7386 2.6497 5.0277
4.2731 1.3918 3.6932
3.7517 4.1755 5.9369
```


VASP calculation (GGA+U) on a geometry-optimized SrMn3Cr4O12 structure.

Crystal system: cubic

POSCAR file:
```
SrMn3Cr4O12
1.0
-3.7531 3.7531 3.7531
3.7531 -3.7531 3.7531
3.7531 3.7531 -3.7531
Sr Mn Cr O
1 3 4 12
Cartesian
0.0000 0.0000 0.0000
3.7531 0.0000 0.0000
0.0000 3.7531 0.0000
0.0000 0.0000 3.7531
1.8766 1.8766 -1.8766
1.8766 -1.8766 1.8766
-1.8766 1.8766 1.8766
1.8766 1.8766 1.8766
3.7531 2.4063 -1.4121
2.3410 0.0000 1.3468
5.1652 0.0000 1.3468
1.3468 2.3410 0.0000
2.4063 -1.4121 3.7531
0.0000 1.3468 2.3410
3.7531 2.4063 1.4121
1.3468 5.1652 0.0000
2.4063 1.4121 3.7531
-1.4121 3.7531 2.4063
1.4121 3.7531 2.4063
0.0000 1.3468 5.1652
```


Number 1: calculated density 4188 kg/m3, energy -7.0391 eV per atom. Number 2: calculated density 5123 kg/m3, energy -7.5790 eV per atom.